Density functional theory data (PBE-GGA) for a geometry-optimized Lu3Si13Ir4 structure.

Cell lengths 8.705, 8.705, 8.705 Å; angles 90.00, 90.00, 90.00 degrees
Space group Pm-3n (No. 223)
Symmetry-distinct sites (fractional):
Lu 0.000 0.250 0.500
Si 0.000 0.000 0.000
Si 0.000 0.294 0.137
Ir 0.250 0.250 0.250

## Properties
Its total magnetization is 0.0 μB/cell. The calculation puts the calculated total energy at -6.564 eV per atom.

***

Density functional theory data (PBE-GGA) for a geometry-optimized DyY2Ga3AgPd2 structure.

Cell lengths 3.715, 13.084, 7.555 Å; angles 90.00, 90.00, 90.00 degrees
Space group Amm2 (No. 38)
Symmetry-distinct sites (fractional):
Dy 0.000 0.000 0.000
Y 0.000 0.204 0.611
Ga 0.500 0.000 0.678
Ga 0.500 0.135 0.273
Ag 0.000 0.000 0.407
Pd 0.500 0.166 0.908

## Properties
Its total magnetization is 0.0 μB/cell. The calculation puts the calculated total energy at -5.171 eV per atom.